Computed, not measured: an optimized crystal structure of AcZnRh at the PBE level of DFT.

The structure in POSCAR format:
```
AcZnRh
1.0
-1.857 4.408 0.294
-4.555 0.771 -1.273
-3.286 0.997 3.342
Zn Rh Ac
1 1 1
direct
0.000 0.000 0.000
0.250 0.250 0.250
0.500 0.500 0.500
```

The value obtained for the energy of formation is -0.4035 eV per atom. As for the density of states at the Fermi level: 1.15 states/eV/f.u.